(1)
This record from Alexandria describes Pm2MgGa6 after structural relaxation. The functional is PBE.

Summary:
ΔE_f: -336 meV per atom
crystal system: orthorhombic
size of the total moment: 0.0 μB/f.u.
space group: Immm
D(E_F): 3.8 states/eV per cell
electronic total energy: -32.28 eV for the cell shown

a = 4.4162 Å, b = 6.7750 Å, c = 7.9278 Å
α = 115.30°, β = 106.17°, γ = 90.00°
Fractional positions:
Pm  0.8794  0.8794  0.7588
Pm  0.1206  0.1206  0.2412
Ga  0.5000  0.7827  0.0000
Ga  0.5000  0.2173  0.0000
Ga  0.6886  0.8844  0.3772
Ga  0.3114  0.5073  0.6228
Ga  0.6886  0.4927  0.3772
Ga  0.3114  0.1156  0.6228
Mg  0.0000  0.5000  0.0000



(2)
This record from Alexandria describes PuGe2Ir3 after structural relaxation. The functional is PBE.

Summary:
ΔE_f: -463 meV per atom
crystal system: monoclinic
size of the total moment: 4.8 μB/f.u.
space group: C2/m
D(E_F): 40.4 states/eV per cell
electronic total energy: -158.78 eV for the cell shown

a = 4.0447 Å, b = 8.5206 Å, c = 9.8211 Å
α = 107.22°, β = 90.00°, γ = 103.73°
Fractional positions:
Ge  0.5392  0.0784  0.7792
Ge  0.4608  0.9216  0.2208
Ge  0.1927  0.3853  0.1258
Ge  0.6382  0.2763  0.4587
Ge  0.3618  0.7237  0.5413
Ge  0.8073  0.6147  0.8742
Ir  0.3202  0.6404  0.0425
Ir  0.9582  0.9163  0.6693
Ir  0.5000  0.0000  0.5000
Ir  0.6180  0.2359  0.1968
Ir  0.6798  0.3596  0.9575
Ir  0.7834  0.5669  0.6080
Ir  0.0418  0.0837  0.3307
Ir  0.2166  0.4331  0.3920
Ir  0.3820  0.7641  0.8032
Pu  0.1640  0.3279  0.7083
Pu  0.0000  0.0000  0.0000
Pu  0.8360  0.6721  0.2917



(3)
This record from Alexandria describes SbPtRhAu after structural relaxation. The functional is PBE.

Summary:
crystal system: cubic
E_form (uncorrected): -0.088 eV/atom
size of the total moment: 0.0 μB/f.u.
space group: F-43m
D(E_F): 4.3 states/eV per cell
electronic total energy: -21.14 eV for the cell shown

a = 4.6085 Å, b = 4.6085 Å, c = 4.6085 Å
α = 60.00°, β = 60.00°, γ = 60.00°
Fractional positions:
Pt  0.7500  0.7500  0.7500
Rh  0.2500  0.2500  0.2500
Sb  0.0000  0.0000  0.0000
Au  0.5000  0.5000  0.5000



(4)
This record from Alexandria describes CuReSe2 after structural relaxation. The functional is PBE.

Summary:
crystal system: orthorhombic
E_form (uncorrected): 0.276 eV/atom
size of the total moment: 0.0 μB/f.u.
space group: Immm
D(E_F): 4.3 states/eV per cell
electronic total energy: -22.41 eV for the cell shown

a = 6.6341 Å, b = 6.6341 Å, c = 6.6341 Å
α = 153.45°, β = 141.79°, γ = 47.14°
Fractional positions:
Se  0.4112  0.4112  0.0000
Se  0.0888  0.0888  0.0000
Cu  0.7500  0.2500  0.5000
Re  0.2500  0.7500  0.5000



(5)
This record from Alexandria describes PmMg2Si after structural relaxation. The functional is PBE.

Summary:
crystal system: tetragonal
E_form (uncorrected): -0.296 eV/atom
size of the total moment: 0.0 μB/f.u.
space group: P4/mmm
D(E_F): 0.6 states/eV per cell
electronic total energy: -14.55 eV for the cell shown

a = 4.7599 Å, b = 4.3471 Å, c = 4.3471 Å
α = 90.00°, β = 90.00°, γ = 90.00°
Fractional positions:
Mg  0.0000  0.0000  0.5000
Mg  0.0000  0.5000  0.0000
Si  0.5000  0.5000  0.5000
Pm  0.5000  0.0000  0.0000



(6)
This record from Alexandria describes Th2NiP3Rh4 after structural relaxation. The functional is PBE.

Summary:
ΔE_f: -1010 meV per atom
crystal system: tetragonal
size of the total moment: 0.0 μB/f.u.
space group: P-4m2
D(E_F): 8.3 states/eV per cell
electronic total energy: -76.35 eV for the cell shown

a = 4.1079 Å, b = 4.1079 Å, c = 9.9452 Å
α = 90.00°, β = 90.00°, γ = 90.00°
Fractional positions:
Rh  0.5000  0.0000  0.6292
Rh  0.0000  0.0000  0.0000
Rh  0.5000  0.5000  0.0000
Rh  0.0000  0.5000  0.3708
P  0.5000  0.0000  0.8632
P  0.0000  0.0000  0.5000
P  0.0000  0.5000  0.1368
Ni  0.5000  0.5000  0.5000
Th  0.5000  0.0000  0.2555
Th  0.0000  0.5000  0.7445